Entry 1:
## InSe (PBE)

Data for crystalline InSe at its relaxed geometry.

Cell: 4.0863 4.0863 26.7636 Å, 90.00 90.00 120.00°
Space group R3m (No. 160, hexagonal axes)
Asymmetric unit:
In 0.0000 0.0000 0.0000 [3 per cell]
In 0.0000 0.0000 0.1056 [3 per cell]
Se 0.0000 0.0000 0.6191 [3 per cell]
Se 0.0000 0.0000 0.8199 [3 per cell]

Summary:
Magnetization = 0.00 μB/atom
Uncorrected formation energy = -0.520 eV per atom

=====

Entry 2:
## PrAgSnRh (PBE)

Data for crystalline PrAgSnRh at its relaxed geometry.

Cell: 6.9994 6.9994 6.9994 Å, 90.00 90.00 90.00°
Space group F-43m (No. 216)
Asymmetric unit:
Pr 0.0000 0.0000 0.0000 [4 per cell]
Ag 0.2500 0.2500 0.2500 [4 per cell]
Sn 0.0000 0.0000 0.5000 [4 per cell]
Rh 0.2500 0.2500 0.7500 [4 per cell]

Summary:
Fermi-level density of states = 14.3 states/eV/cell
Magnetization = 0.00 μB/atom
Calculated formation energy = -0.43 eV per atom

=====

no.,VASP energy (Ha/atom)
1,-0.1335
2,-0.1901